The following is a PBE calculation of crystalline LiBe3Ni4 at its relaxed geometry, from Alexandria.

Unit cell a=2.6305 b=3.7502 c=7.4959 alpha=90.00 beta=90.00 gamma=90.00
Last column: nearest neighbours and their distance in Å.
Element x y z (fractional)
Li1 0.0000 0.0000 0.0000  8 Ni 2.29-2.36
Be1 0.0000 0.0000 0.5000  8 Ni 2.22-2.29
Be2 0.0000 0.5000 0.2495  8 Ni 2.29
Be3 0.0000 0.5000 0.7505  8 Ni 2.29
Ni1 0.5000 0.0000 0.2620  6 Be 2.22-2.29, 2 Li 2.36
Ni2 0.5000 0.0000 0.7380  6 Be 2.22-2.29, 2 Li 2.36
Ni3 0.5000 0.5000 0.0000  4 Be 2.29, 4 Li 2.29
Ni4 0.5000 0.5000 0.5000  8 Be 2.29

## Properties
- E (eV per atom) = -4.855
- energy relative to the elements (eV/atom) = -0.33
- space group = Pmmm (47)
- crystal system = orthorhombic
- theoretical density (g/cm3) = 6.04

***

The following is a PBE calculation of crystalline SrCaP2Pd2 at its relaxed geometry, from Alexandria.

Unit cell a=4.1137 b=4.1137 c=8.7264 alpha=90.00 beta=90.00 gamma=120.00
Last column: nearest neighbours and their distance in Å.
Element x y z (fractional)
Sr1 0.0000 0.0000 0.0000  6 P 3.27, 6 Pd 3.29
Ca1 0.0000 0.0000 0.5000  6 Pd 3.16, 6 P 3.18
P1 0.3333 0.6667 0.2584  3 Pd 2.38
P2 0.6667 0.3333 0.7416  3 Pd 2.38
Pd1 0.3333 0.6667 0.7385  3 P 2.38
Pd2 0.6667 0.3333 0.2615  3 P 2.38

## Properties
- E (eV per atom) = -5.152
- energy relative to the elements (eV/atom) = -1.00
- space group = P-3m1 (164)
- crystal system = trigonal
- theoretical density (g/cm3) = 5.23

***

The following is a PBE calculation of crystalline TcSnPt2F at its relaxed geometry, from Alexandria.

Unit cell a=4.3789 b=4.3789 c=4.5264 alpha=90.00 beta=90.00 gamma=90.00
Last column: nearest neighbours and their distance in Å.
Element x y z (fractional)
Tc1 0.0000 0.0000 0.0000  4 Sn 3.10, 8 Pt 3.15
Sn1 0.5000 0.5000 0.0000  2 F 2.26
Pt1 0.0000 0.5000 0.5000  2 F 2.19
Pt2 0.5000 0.0000 0.5000  2 F 2.19
F1 0.5000 0.5000 0.5000  4 Pt 2.19, 2 Sn 2.26

## Properties
- E (eV per atom) = -5.052
- formation energy from raw total energies (eV/atom) = 0.61
- space group = P4/mmm (123)
- crystal system = tetragonal
- theoretical density (g/cm3) = 11.97

***

The following is a PBE calculation of crystalline Ga3BiTe at its relaxed geometry, from Alexandria.

Unit cell a=5.5685 b=5.5685 c=5.5685 alpha=90.00 beta=90.00 gamma=90.00
Last column: nearest neighbours and their distance in Å.
Element x y z (fractional)
Ga1 0.0000 0.0000 0.5000  2 Bi 2.78
Ga2 0.0000 0.5000 0.0000  2 Bi 2.78
Ga3 0.5000 0.0000 0.0000  2 Bi 2.78
Bi1 0.0000 0.0000 0.0000  6 Ga 2.78
Te1 0.5000 0.5000 0.5000  12 Ga 3.94

## Properties
- E (eV per atom) = -2.795
- formation energy from raw total energies (eV/atom) = 0.43
- space group = Pm-3m (221)
- crystal system = cubic
- theoretical density (g/cm3) = 5.25

***

The following is a PBE calculation of crystalline Ba2Sn2N at its relaxed geometry, from Alexandria.

Unit cell a=6.9938 b=6.9938 c=7.3744 alpha=90.00 beta=90.00 gamma=90.00
Last column: nearest neighbours and their distance in Å.
Element x y z (fractional)
Ba1 0.0000 0.5000 0.2500  4 Sn 3.51, 2 Ba 3.69
Ba2 0.0000 0.5000 0.7500  4 Sn 3.51, 2 Ba 3.69
Ba3 0.5000 0.0000 0.2500  4 Sn 3.51, 2 Ba 3.69
Ba4 0.5000 0.0000 0.7500  4 Sn 3.51, 2 Ba 3.69
Sn1 0.0000 0.0000 0.2126  1 N 2.12
Sn2 0.0000 0.0000 0.7874  1 N 2.12
Sn3 0.5000 0.5000 0.2874  1 N 2.12
Sn4 0.5000 0.5000 0.7126  1 N 2.12
N1 0.0000 0.0000 0.5000  2 Sn 2.12
N2 0.5000 0.5000 0.0000  2 Sn 2.12

## Properties
- E (eV per atom) = -3.844
- formation energy from raw total energies (eV/atom) = 0.19
- space group = I4/mmm (139)
- crystal system = tetragonal
- theoretical density (g/cm3) = 4.84

***

The following is a PBE calculation of crystalline TaSbBr2 at its relaxed geometry, from Alexandria.

Unit cell a=9.3786 b=9.3786 c=5.4204 alpha=90.00 beta=90.00 gamma=90.00
Last column: nearest neighbours and their distance in Å.
Element x y z (fractional)
Ta1 0.0000 0.0000 0.0000  4 Br 2.67, 2 Sb 2.71
Ta2 0.0000 0.5000 0.2500  4 Br 2.67, 2 Sb 2.71
Ta3 0.5000 0.0000 0.7500  4 Br 2.67, 2 Sb 2.71
Ta4 0.5000 0.5000 0.5000  4 Br 2.67, 2 Sb 2.71
Sb1 0.0000 0.0000 0.5000  2 Ta 2.71
Sb2 0.0000 0.5000 0.7500  2 Ta 2.71
Sb3 0.5000 0.0000 0.2500  2 Ta 2.71
Sb4 0.5000 0.5000 0.0000  2 Ta 2.71
Br1 0.1150 0.2500 0.1250  2 Ta 2.67
Br2 0.2500 0.6150 0.3750  2 Ta 2.67
Br3 0.2500 0.8850 0.8750  2 Ta 2.67
Br4 0.3850 0.2500 0.6250  2 Ta 2.67
Br5 0.6150 0.7500 0.6250  2 Ta 2.67
Br6 0.7500 0.1150 0.8750  2 Ta 2.67
Br7 0.7500 0.3850 0.3750  2 Ta 2.67
Br8 0.8850 0.7500 0.1250  2 Ta 2.67

## Properties
- E (eV per atom) = -4.714
- formation energy from raw total energies (eV/atom) = 0.12
- space group = I-42d (122)
- crystal system = tetragonal
- theoretical density (g/cm3) = 6.44